[1]
The following is a PBE-GGA calculation of a geometry-optimized NaTbHg4 structure, from Alexandria. Values from VASP.

Geometry as Quantum ESPRESSO input:
```
&SYSTEM
  ibrav = 0, nat = 6, ntyp = 3
/
ATOMIC_SPECIES
Hg 200.59 Hg.upf
Na 22.99 Na.upf
Tb 158.93 Tb.upf
ATOMIC_POSITIONS angstrom
Hg 7.4783 4.3176 3.0530
Hg 5.9826 1.7269 3.0530
Na 2.9913 1.7270 1.2212
Hg 4.4869 4.3176 3.0530
Hg 5.9826 3.4540 0.6105
Tb 0.0000 0.0000 0.0000
CELL_PARAMETERS angstrom
5.9826 0.0000 0.0000
2.9913 5.1810 0.0000
2.9913 1.7270 4.8847
```

Computed properties:
- V (Å³/cell) = 151
- E_form (eV/atom) = -0.121
- offset from the most stable computed form (meV per atom) = 180
- uncorrected energy (eV per atom) = -1.31



[2]
The following is a PBE-GGA calculation of a geometry-optimized SrGaAs2Se structure, from Alexandria. Values from VASP.

Geometry as Quantum ESPRESSO input:
```
&SYSTEM
  ibrav = 0, nat = 5, ntyp = 4
/
ATOMIC_SPECIES
As 74.92 As.upf
Ga 69.72 Ga.upf
Sr 87.62 Sr.upf
Se 78.96 Se.upf
ATOMIC_POSITIONS angstrom
As 2.4735 0.0000 0.0000
As 0.0000 2.4735 0.0000
Ga 0.0000 0.0000 0.0000
Sr 2.4735 2.4735 2.6610
Se 0.0000 0.0000 2.6610
CELL_PARAMETERS angstrom
4.9469 0.0000 0.0000
0.0000 4.9469 0.0000
0.0000 0.0000 5.3221
```

Computed properties:
- energy relative to the elements, uncorrected (eV per atom) = -0.252
- V (Å³/cell) = 130
- offset from the most stable computed form (meV per atom) = 0
- uncorrected energy (eV per atom) = -3.75



[3]
The following is a PBE-GGA calculation of a geometry-optimized HfIrF3 structure, from Alexandria. Values from VASP.

Geometry as Quantum ESPRESSO input:
```
&SYSTEM
  ibrav = 0, nat = 5, ntyp = 3
/
ATOMIC_SPECIES
F 19.00 F.upf
Hf 178.49 Hf.upf
Ir 192.22 Ir.upf
ATOMIC_POSITIONS angstrom
F -1.2108 -0.1637 1.7153
F -0.5619 2.0194 -0.2038
Hf 0.0000 0.0000 0.0000
F 1.6289 0.5748 1.2047
Ir -0.1438 2.4304 2.7162
CELL_PARAMETERS angstrom
-1.1237 4.0387 -0.4077
-2.4217 -0.3275 3.4306
3.2578 1.1497 2.4095
```

Computed properties:
- energy relative to the elements, uncorrected (eV per atom) = -1.380
- V (Å³/cell) = 75
- offset from the most stable computed form (meV per atom) = 0
- uncorrected energy (eV per atom) = -6.27



[4]
The following is a PBE-GGA calculation of a geometry-optimized NaCa2TiCl8 structure, from Alexandria. Values from VASP.

Geometry as Quantum ESPRESSO input:
```
&SYSTEM
  ibrav = 0, nat = 12, ntyp = 4
/
ATOMIC_SPECIES
Cl 35.45 Cl.upf
Ca 40.08 Ca.upf
Ti 47.87 Ti.upf
Na 22.99 Na.upf
ATOMIC_POSITIONS angstrom
Cl 4.4039 4.5526 8.2367
Cl 2.0926 1.7141 4.1190
Cl 5.3132 1.2857 1.7476
Ca 3.1801 3.0629 6.1730
Ti 0.0000 0.0000 0.0000
Cl 1.9541 1.5691 -0.0027
Cl 5.3164 1.2911 6.4874
Cl 1.0447 4.8361 6.4863
Cl 1.0416 4.8307 1.7466
Cl 4.2654 4.4076 4.1149
Na 0.0026 0.0047 4.1223
Ca 3.1778 3.0588 2.0610
CELL_PARAMETERS angstrom
6.3619 -0.0307 -0.0039
-0.0092 6.1430 -0.0067
0.0052 0.0094 8.2446
```

Computed properties:
- energy relative to the elements, uncorrected (eV per atom) = -1.985
- V (Å³/cell) = 322
- uncorrected energy (eV per atom) = -4.32



[5]
The following is a PBE-GGA calculation of a geometry-optimized CaThZnN3 structure, from Alexandria. Values from VASP.

Geometry as Quantum ESPRESSO input:
```
&SYSTEM
  ibrav = 0, nat = 12, ntyp = 4
/
ATOMIC_SPECIES
N 14.01 N.upf
Zn 65.41 Zn.upf
Th 232.04 Th.upf
Ca 40.08 Ca.upf
ATOMIC_POSITIONS angstrom
N 2.6220 0.2121 3.7183
N 0.8740 4.7792 4.7517
N 0.8740 2.6341 6.9283
Zn 2.6220 5.4591 3.9961
Th 2.6220 4.2354 6.8959
N 2.6220 2.3573 1.5417
Ca 0.8740 4.1797 2.0160
N 2.6220 6.1175 2.0942
Ca 2.6220 0.8117 6.4540
Zn 0.8740 -0.4677 4.4739
Th 0.8740 0.7560 1.5741
N 0.8740 -1.1261 6.3758
CELL_PARAMETERS angstrom
3.4960 0.0000 0.0000
0.0000 7.1485 1.2697
0.0000 -2.1571 7.2003
```

Computed properties:
- energy relative to the elements, uncorrected (eV per atom) = -0.680
- V (Å³/cell) = 190
- uncorrected energy (eV per atom) = -6.62



[6]
The following is a PBE-GGA calculation of a geometry-optimized HgAu2Br structure, from Alexandria. Values from VASP.

Geometry as Quantum ESPRESSO input:
```
&SYSTEM
  ibrav = 0, nat = 4, ntyp = 3
/
ATOMIC_SPECIES
Au 196.97 Au.upf
Hg 200.59 Hg.upf
Br 79.90 Br.upf
ATOMIC_POSITIONS angstrom
Au 0.0000 0.0000 0.0000
Au 1.7123 3.2115 0.0000
Hg 0.0000 3.2115 2.1940
Br 1.7123 0.0000 2.1940
CELL_PARAMETERS angstrom
3.4246 0.0000 0.0000
0.0000 6.4231 0.0000
0.0000 0.0000 4.3881
```

Computed properties:
- energy relative to the elements, uncorrected (eV per atom) = 0.196
- V (Å³/cell) = 97
- offset from the most stable computed form (meV per atom) = 179
- uncorrected energy (eV per atom) = -1.94



[7]
The following is a PBE-GGA calculation of a geometry-optimized Ba2Ag4Sn5 structure, from Alexandria. Values from VASP.

Geometry as Quantum ESPRESSO input:
```
&SYSTEM
  ibrav = 0, nat = 11, ntyp = 3
/
ATOMIC_SPECIES
Sn 118.71 Sn.upf
Ag 107.87 Ag.upf
Ba 137.33 Ba.upf
ATOMIC_POSITIONS angstrom
Sn 4.8631 5.4766 0.6329
Ag 3.2672 0.8988 2.5669
Sn 8.2056 5.4766 0.6329
Sn 4.8631 1.9826 5.1486
Ba 6.5344 2.0672 1.6053
Ag 3.2672 2.7151 0.2291
Sn 8.2056 1.9826 5.1486
Ag 9.8015 6.5604 3.2147
Ba 6.5344 5.3920 4.1762
Sn 3.2672 3.7296 2.8908
Ag 9.8015 4.7441 5.5524
CELL_PARAMETERS angstrom
6.5344 0.0000 0.0000
3.2672 6.7262 -0.9766
3.2672 0.7330 6.7581
```

Computed properties:
- V (Å³/cell) = 302
- E_form (eV/atom) = -0.276
- uncorrected energy (eV per atom) = -3.48